5
Lattice="4.7683 0.0000 0.0000 0.0000 4.7683 0.0000 0.0000 0.0000 5.4032" Properties=species:S:1:pos:R:3 comment="Fe2PtAuI | Alexandria via LeMat-Bulk | PBE-GGA | relaxed" raw_formation_energy_mev_per_atom=1520.1 final_energy_ev_per_cell=-20.19 pbc="T T T"
Fe 0.0000 2.3841 0.0000
Fe 2.3841 0.0000 0.0000
Pt 0.0000 0.0000 2.7016
Au 2.3841 2.3841 0.0000
I 2.3841 2.3841 2.7016